(1)
The following is a DFT calculation (GGA-PBE) of an optimized crystal structure of YAlIr2.

* DFT formation energy: 7.9 kJ/mol of atoms
* Fermi-level density of states: 12.849 states/eV/cell
* total moment: 0.31 μB per atom

Lattice parameters (Å, degrees): 2.9561 2.9561 27.9817 90.00 90.00 120.00
Closest atoms and distances in Å follow each position.
Space group R3m (No. 160, hexagonal axes)
Asymmetric unit:
Y  0.0000  0.0000  0.0000  6 Y 2.96, 3 Ir 2.97, 3 Al 3.26
Al  0.0000  0.0000  0.7657  3 Ir 2.56
Ir  0.0000  0.0000  0.2465  9 Ir 2.80-2.96, 3 Y 2.97
Ir  0.0000  0.0000  0.5004  3 Al 2.56, 3 Ir 2.80


(2)
The following is a DFT calculation (GGA-PBE) of an optimized crystal structure of Zr3P.

* ΔE to the lowest computed polymorph: 0.446 eV per atom
* DFT formation energy: -40.2 kJ/mol of atoms
* Fermi-level density of states: 5.336 states/eV/cell
* total moment: 0.00 μB per atom

Lattice parameters (Å, degrees): 4.5126 4.5126 3.7970 90.00 90.00 90.00
Closest atoms and distances in Å follow each position.
Space group P4/mmm (No. 123)
Asymmetric unit:
Zr  0.0000  0.0000  0.0000  8 Zr 2.95, 4 P 3.19
Zr  0.0000  0.5000  0.5000  4 P 2.95, 8 Zr 2.95-3.19
P  0.5000  0.5000  0.0000  12 Zr 2.95-3.19


(3)
The following is a DFT calculation (GGA-PBE) of an optimized crystal structure of AlTeW.

* ΔE to the lowest computed polymorph: 0.038 eV per atom
* Fermi-level density of states: 3.235 states/eV/cell
* total moment: 0.00 μB per atom
* raw formation energy: 0.354 eV/atom

Lattice parameters (Å, degrees): 3.2994 3.2994 12.6089 90.00 90.00 120.00
Closest atoms and distances in Å follow each position.
Space group P-6m2 (No. 187)
Asymmetric unit:
Al  0.0000  0.0000  0.1484  3 W 2.67
Te  0.6667  0.3333  0.3443  3 W 2.74
W  0.3333  0.6667  0.0000  6 Al 2.67
W  0.3333  0.6667  0.5000  6 Te 2.74


Asked for total DFT energy (no corrections) across the records above, the calculation gives -82.8, -32.7, -37.5 eV per cell in order.